[1]
# La2ScI PBE relaxed
# **Polymorph energy (0 for the lowest one)**: 222.1 meV per atom
# **Energy**: -4.566 eV/atom
# **E_form (uncorrected)**: -0.13 eV/atom
data_La2ScI
_chemical_formula_sum 'La6 Sc3 I3'
_cell_length_a 3.6261
_cell_length_b 3.6261
_cell_length_c 34.7092
_cell_angle_alpha 90.00
_cell_angle_beta 90.00
_cell_angle_gamma 120.00
_symmetry_space_group_name_H-M 'R -3 m'
_symmetry_Int_Tables_number 166
_symmetry_space_group_name_Hall '-R 3 2"'
loop_
_atom_site_label
_atom_site_fract_x
_atom_site_fract_y
_atom_site_fract_z
La1 0.0000 0.0000 0.0913
Sc1 0.0000 0.0000 0.0000
I1 0.0000 0.0000 0.5000


[2]
# CaAu2Br PBE relaxed
# **Polymorph energy (0 for the lowest one)**: 566.7 meV per atom
# **Energy**: -2.875 eV/atom
# **E_form (uncorrected)**: -0.32 eV/atom
data_CaAu2Br
_chemical_formula_sum 'Ca4 Au8 Br4'
_cell_length_a 7.2486
_cell_length_b 7.2486
_cell_length_c 7.2486
_cell_angle_alpha 90.00
_cell_angle_beta 90.00
_cell_angle_gamma 90.00
_symmetry_space_group_name_H-M 'F m -3 m'
_symmetry_Int_Tables_number 225
_symmetry_space_group_name_Hall '-F 4 2 3'
loop_
_atom_site_label
_atom_site_fract_x
_atom_site_fract_y
_atom_site_fract_z
Ca1 0.0000 0.0000 0.0000
Au1 0.2500 0.2500 0.2500
Br1 0.0000 0.0000 0.5000


[3]
# Ce2AuF PBE relaxed
# **Polymorph energy (0 for the lowest one)**: 0.0 meV per atom
# **Energy**: -5.645 eV/atom
# **E_form (uncorrected)**: -1.39 eV/atom
data_Ce2AuF
_chemical_formula_sum 'Ce6 Au3 F3'
_cell_length_a 4.1564
_cell_length_b 4.1564
_cell_length_c 18.4302
_cell_angle_alpha 90.00
_cell_angle_beta 90.00
_cell_angle_gamma 120.00
_symmetry_space_group_name_H-M 'R -3 m'
_symmetry_Int_Tables_number 166
_symmetry_space_group_name_Hall '-R 3 2"'
loop_
_atom_site_label
_atom_site_fract_x
_atom_site_fract_y
_atom_site_fract_z
Ce1 0.0000 0.0000 0.2351
Au1 0.0000 0.0000 0.0000
F1 0.0000 0.0000 0.5000


[4]
# NdPaRe PBE relaxed
# **Polymorph energy (0 for the lowest one)**: 430.4 meV per atom
# **Energy**: -8.386 eV/atom
# **Energy relative to the elements**: 0.52 eV per atom
data_NdPaRe
_chemical_formula_sum 'Nd2 Pa2 Re2'
_cell_length_a 3.2059
_cell_length_b 4.6058
_cell_length_c 10.2742
_cell_angle_alpha 90.00
_cell_angle_beta 90.00
_cell_angle_gamma 90.00
_symmetry_space_group_name_H-M 'P m m n'
_symmetry_Int_Tables_number 59
loop_
_symmetry_equiv_pos_as_xyz
'x,y,z'
'-x,-y,-z'
'-x+1/2,-y+1/2,z'
'x+1/2,y+1/2,-z'
'x+1/2,-y,-z'
'-x+1/2,y,z'
'-x,y+1/2,-z'
'x,-y+1/2,z'
loop_
_atom_site_label
_atom_site_fract_x
_atom_site_fract_y
_atom_site_fract_z
Nd1 0.2500 0.2500 0.1059
Pa1 0.2500 0.7500 0.3063
Re1 0.2500 0.2500 0.4696


[5]
# Re2TcWBr PBE relaxed
# **Energy**: -7.591 eV/atom
# **E_form (uncorrected)**: 2.39 eV/atom
data_Re2TcWBr
_chemical_formula_sum 'Re2 Tc1 W1 Br1'
_cell_length_a 4.8368
_cell_length_b 4.8368
_cell_length_c 4.8126
_cell_angle_alpha 90.00
_cell_angle_beta 90.00
_cell_angle_gamma 90.00
_symmetry_space_group_name_H-M 'P 4/m m m'
_symmetry_Int_Tables_number 123
_symmetry_space_group_name_Hall '-P 4 2'
loop_
_atom_site_label
_atom_site_fract_x
_atom_site_fract_y
_atom_site_fract_z
Re1 0.0000 0.5000 0.0000
Tc1 0.0000 0.0000 0.5000
W1 0.0000 0.0000 0.0000
Br1 0.5000 0.5000 0.5000


[6]
# CrFe2CN PBE relaxed
# **Energy**: -8.090 eV/atom
# **E_form (uncorrected)**: 0.73 eV/atom
data_CrFe2CN
_chemical_formula_sum 'Cr1 Fe2 C1 N1'
_cell_length_a 3.6749
_cell_length_b 3.6749
_cell_length_c 3.8235
_cell_angle_alpha 90.00
_cell_angle_beta 90.00
_cell_angle_gamma 90.00
_symmetry_space_group_name_H-M 'P 4/m m m'
_symmetry_Int_Tables_number 123
_symmetry_space_group_name_Hall '-P 4 2'
loop_
_atom_site_label
_atom_site_fract_x
_atom_site_fract_y
_atom_site_fract_z
Cr1 0.0000 0.0000 0.0000
Fe1 0.0000 0.5000 0.5000
C1 0.5000 0.5000 0.0000
N1 0.0000 0.0000 0.5000


[7]
# AcNiSn2Rh4 PBE relaxed
# **Energy**: -6.390 eV/atom
# **Energy relative to the elements**: -0.48 eV per atom
data_AcNiSn2Rh4
_chemical_formula_sum 'Ac3 Ni3 Sn6 Rh12'
_cell_length_a 4.4330
_cell_length_b 4.4330
_cell_length_c 26.5636
_cell_angle_alpha 90.00
_cell_angle_beta 90.00
_cell_angle_gamma 120.00
_symmetry_space_group_name_H-M 'R -3 m'
_symmetry_Int_Tables_number 166
_symmetry_space_group_name_Hall '-R 3 2"'
loop_
_atom_site_label
_atom_site_fract_x
_atom_site_fract_y
_atom_site_fract_z
Ac1 0.0000 0.0000 0.0000
Ni1 0.0000 0.0000 0.5000
Sn1 0.0000 0.0000 0.2337
Rh1 0.0000 0.0000 0.1323
Rh2 0.0000 0.0000 0.4046


[8]
# CaHgPb2 PBE relaxed
# **Energy**: -2.651 eV/atom
# **Energy relative to the elements**: -0.22 eV per atom
data_CaHgPb2
_chemical_formula_sum 'Ca2 Hg2 Pb4'
_cell_length_a 6.6869
_cell_length_b 10.8586
_cell_length_c 3.6189
_cell_angle_alpha 90.00
_cell_angle_beta 115.34
_cell_angle_gamma 90.00
_symmetry_space_group_name_H-M 'C 1 2/m 1'
_symmetry_Int_Tables_number 12
loop_
_symmetry_equiv_pos_as_xyz
'x,y,z'
'-x,-y,-z'
'-x,y,-z'
'x,-y,z'
'x+1/2,y+1/2,z'
'-x+1/2,-y+1/2,-z'
'-x+1/2,y+1/2,-z'
'x+1/2,-y+1/2,z'
loop_
_atom_site_label
_atom_site_fract_x
_atom_site_fract_y
_atom_site_fract_z
Ca1 0.0000 0.0000 0.0000
Hg1 0.0000 0.5000 0.0000
Pb1 0.2500 0.2500 0.5000


[9]
# CuAsPdAu PBE relaxed
# **Energy**: -4.331 eV/atom
# **Energy relative to the elements**: -0.03 eV per atom
data_CuAsPdAu
_chemical_formula_sum 'Cu4 As4 Pd4 Au4'
_cell_length_a 6.3368
_cell_length_b 6.3368
_cell_length_c 6.3368
_cell_angle_alpha 90.00
_cell_angle_beta 90.00
_cell_angle_gamma 90.00
_symmetry_space_group_name_H-M 'F -4 3 m'
_symmetry_Int_Tables_number 216
_symmetry_space_group_name_Hall 'F -4 2 3'
loop_
_atom_site_label
_atom_site_fract_x
_atom_site_fract_y
_atom_site_fract_z
Cu1 0.0000 0.0000 0.0000
As1 0.0000 0.0000 0.5000
Pd1 0.2500 0.2500 0.2500
Au1 0.2500 0.2500 0.7500


[10]
# La2PmSmRh2 PBE relaxed
# **Energy**: -6.200 eV/atom
# **Energy relative to the elements**: -0.53 eV per atom
data_La2PmSmRh2
_chemical_formula_sum 'La8 Pm4 Sm4 Rh8'
_cell_length_a 15.1409
_cell_length_b 6.9918
_cell_length_c 6.9685
_cell_angle_alpha 90.00
_cell_angle_beta 113.81
_cell_angle_gamma 90.00
_symmetry_space_group_name_H-M 'C 1 2/m 1'
_symmetry_Int_Tables_number 12
loop_
_symmetry_equiv_pos_as_xyz
'x,y,z'
'-x,-y,-z'
'-x,y,-z'
'x,-y,z'
'x+1/2,y+1/2,z'
'-x+1/2,-y+1/2,-z'
'-x+1/2,y+1/2,-z'
'x+1/2,-y+1/2,z'
loop_
_atom_site_label
_atom_site_fract_x
_atom_site_fract_y
_atom_site_fract_z
La1 0.1953 0.0000 0.4491
La2 0.1957 0.5000 0.9529
Pm1 0.0000 0.2560 0.5000
Sm1 0.0000 0.2447 0.0000
Rh1 0.1161 0.0000 0.8353
Rh2 0.1172 0.5000 0.3333


[11]
# Pm2CuC PBE relaxed
# **Polymorph energy (0 for the lowest one)**: 0.0 meV per atom
# **Energy**: -5.738 eV/atom
# **Energy relative to the elements**: -0.03 eV per atom
data_Pm2CuC
_chemical_formula_sum 'Pm6 Cu3 C3'
_cell_length_a 3.7393
_cell_length_b 3.7393
_cell_length_c 21.4918
_cell_angle_alpha 90.00
_cell_angle_beta 90.00
_cell_angle_gamma 120.00
_symmetry_space_group_name_H-M 'R -3 m'
_symmetry_Int_Tables_number 166
_symmetry_space_group_name_Hall '-R 3 2"'
loop_
_atom_site_label
_atom_site_fract_x
_atom_site_fract_y
_atom_site_fract_z
Pm1 0.0000 0.0000 0.2320
Cu1 0.0000 0.0000 0.0000
C1 0.0000 0.0000 0.5000


[12]
# Ho4InSnC PBE relaxed
# **Energy**: -5.411 eV/atom
# **Energy relative to the elements**: -0.51 eV per atom
data_Ho4InSnC
_chemical_formula_sum 'Ho16 In4 Sn4 C4'
_cell_length_a 6.8081
_cell_length_b 15.7047
_cell_length_c 6.8023
_cell_angle_alpha 90.00
_cell_angle_beta 90.00
_cell_angle_gamma 90.00
_symmetry_space_group_name_H-M 'C m c m'
_symmetry_Int_Tables_number 63
_symmetry_space_group_name_Hall '-C 2c 2'
loop_
_atom_site_label
_atom_site_fract_x
_atom_site_fract_y
_atom_site_fract_z
Ho1 0.0000 0.0900 0.2500
Ho2 0.0000 0.4104 0.2500
Ho3 0.2500 0.2500 0.0000
In1 0.0000 0.1123 0.7500
Sn1 0.0000 0.3880 0.7500
C1 0.0000 0.2494 0.2500